[1]
The following is a DFT calculation (PBE) of a relaxed K3Cd6Ag5 crystal.

abc: 4.8706 14.5594 10.2690
angles: 90.00 90.00 90.00
Fractional coordinates of all 28 atoms:
K: 0.2500 0.0543 0.2438
K: 0.2500 0.4457 0.2438
K: 0.2500 0.7500 0.2602
K: 0.7500 0.2500 0.7398
K: 0.7500 0.5543 0.7562
K: 0.7500 0.9457 0.7562
Cd: 0.2500 0.0642 0.5835
Cd: 0.2500 0.2500 0.0346
Cd: 0.2500 0.2500 0.4398
Cd: 0.2500 0.4358 0.5835
Cd: 0.2500 0.6072 0.9794
Cd: 0.2500 0.8928 0.9794
Cd: 0.7500 0.1072 0.0206
Cd: 0.7500 0.3928 0.0206
Cd: 0.7500 0.5642 0.4165
Cd: 0.7500 0.7500 0.5602
Cd: 0.7500 0.7500 0.9654
Cd: 0.7500 0.9358 0.4165
Ag: 0.2500 0.0852 0.8717
Ag: 0.2500 0.4148 0.8717
Ag: 0.2500 0.6378 0.5455
Ag: 0.2500 0.7500 0.7774
Ag: 0.2500 0.8622 0.5455
Ag: 0.7500 0.1378 0.4545
Ag: 0.7500 0.2500 0.2226
Ag: 0.7500 0.3622 0.4545
Ag: 0.7500 0.5852 0.1283
Ag: 0.7500 0.9148 0.1283

Values from the calculation:
Magnetic moment   0.00 μB per cell
Formation enthalpy at 0 K   -45 meV per atom


[2]
The following is a DFT calculation (PBE) of a relaxed K3CdAg4 crystal.

abc: 7.9283 5.9968 10.7119
angles: 90.00 90.00 90.00
Fractional coordinates of all 16 atoms:
K: 0.0000 0.0013 0.0000
K: 0.2243 0.4996 0.4271
K: 0.2757 0.5004 0.9271
K: 0.5000 0.9987 0.5000
K: 0.7243 0.5004 0.9271
K: 0.7757 0.4996 0.4271
Cd: 0.0000 0.9998 0.4870
Cd: 0.5000 0.0002 0.9870
Ag: 0.0000 0.2597 0.7070
Ag: 0.0000 0.7404 0.7072
Ag: 0.1988 0.0000 0.2647
Ag: 0.3012 0.0000 0.7647
Ag: 0.5000 0.2596 0.2072
Ag: 0.5000 0.7403 0.2070
Ag: 0.6988 0.0000 0.7647
Ag: 0.8012 0.0000 0.2647

Values from the calculation:
Magnetic moment   0.00 μB per cell
Formation enthalpy at 0 K   72 meV per atom


[3]
The following is a DFT calculation (PBE) of a relaxed KCd3Ag2 crystal.

abc: 7.4277 7.4277 5.8981
angles: 90.00 90.00 78.84
Fractional coordinates of all 12 atoms:
K: 0.1550 0.8450 0.7500
K: 0.8450 0.1550 0.2500
Cd: 0.0367 0.5695 0.2500
Cd: 0.4305 0.9633 0.2500
Cd: 0.4450 0.5550 0.2500
Cd: 0.5550 0.4450 0.7500
Cd: 0.5695 0.0367 0.7500
Cd: 0.9633 0.4305 0.7500
Ag: 0.2850 0.2850 0.0000
Ag: 0.2850 0.2850 0.5000
Ag: 0.7150 0.7150 0.0000
Ag: 0.7150 0.7150 0.5000

Values from the calculation:
Magnetic moment   0.00 μB per cell
Formation enthalpy at 0 K   -78 meV per atom


[4]
The following is a DFT calculation (PBE) of a relaxed K4Cd3Ag2 crystal.

abc: 8.9293 8.9293 7.8936
angles: 103.59 103.59 32.08
Fractional coordinates of all 9 atoms:
K: 0.0846 0.0846 0.3881
K: 0.2716 0.2716 0.8163
K: 0.7284 0.7284 0.1837
K: 0.9154 0.9154 0.6119
Cd: 0.4007 0.4007 0.2600
Cd: 0.5000 0.5000 0.0000
Cd: 0.5993 0.5993 0.7400
Ag: 0.0810 0.0810 0.9323
Ag: 0.9190 0.9190 0.0677

Values from the calculation:
Magnetic moment   0.00 μB per cell
Formation enthalpy at 0 K   -42 meV per atom


[5]
The following is a DFT calculation (PBE) of a relaxed K4CdAg crystal.

abc: 9.7830 9.7830 9.7830
angles: 127.95 127.95 76.71
Fractional coordinates of all 12 atoms:
K: 0.0579 0.5579 0.8666
K: 0.1913 0.0579 0.5000
K: 0.3087 0.8087 0.8666
K: 0.4421 0.3087 0.5000
K: 0.5579 0.6913 0.5000
K: 0.6913 0.1913 0.1334
K: 0.8087 0.9421 0.5000
K: 0.9421 0.4421 0.1334
Cd: 0.2500 0.2500 0.0000
Cd: 0.7500 0.7500 0.0000
Ag: 0.0000 0.0000 0.0000
Ag: 0.5000 0.5000 0.0000

Values from the calculation:
Magnetic moment   0.00 μB per cell
Distance to the lowest polymorph of the same formula   0.00 kcal/mol of atoms
Formation enthalpy at 0 K   29 meV per atom


[6]
The following is a DFT calculation (PBE) of a relaxed K4CdAg3 crystal.

abc: 4.8329 4.9432 12.5856
angles: 90.00 90.00 90.00
Fractional coordinates of all 8 atoms:
K: 0.0000 0.0000 0.0000
K: 0.0000 0.5000 0.2803
K: 0.5000 0.0000 0.4817
K: 0.5000 0.5000 0.7892
Cd: 0.0000 0.0000 0.6948
Ag: 0.0000 0.5000 0.5782
Ag: 0.5000 0.0000 0.1951
Ag: 0.5000 0.5000 0.0822

Values from the calculation:
Magnetic moment   0.00 μB per cell
Formation enthalpy at 0 K   2 meV per atom


[7]
The following is a DFT calculation (PBE) of a relaxed K3Cd2Ag2 crystal.

abc: 6.8247 9.3482 15.0698
angles: 90.00 90.00 90.00
Fractional coordinates of all 28 atoms:
K: 0.1282 0.1120 0.0993
K: 0.1282 0.1120 0.4007
K: 0.1282 0.3880 0.5993
K: 0.1282 0.3880 0.9007
K: 0.3458 0.7310 0.7500
K: 0.3458 0.7690 0.2500
K: 0.6542 0.2310 0.7500
K: 0.6542 0.2690 0.2500
K: 0.8718 0.6120 0.0993
K: 0.8718 0.6120 0.4007
K: 0.8718 0.8880 0.5993
K: 0.8718 0.8880 0.9007
Cd: 0.1851 0.0856 0.7500
Cd: 0.1851 0.4144 0.2500
Cd: 0.3830 0.7500 0.0000
Cd: 0.3830 0.7500 0.5000
Cd: 0.6170 0.2500 0.0000
Cd: 0.6170 0.2500 0.5000
Cd: 0.8149 0.5856 0.7500
Cd: 0.8149 0.9144 0.2500
Ag: 0.3902 0.0234 0.5863
Ag: 0.3902 0.0234 0.9137
Ag: 0.3902 0.4766 0.0863
Ag: 0.3902 0.4766 0.4137
Ag: 0.6098 0.5234 0.5863
Ag: 0.6098 0.5234 0.9137
Ag: 0.6098 0.9766 0.0863
Ag: 0.6098 0.9766 0.4137

Values from the calculation:
Magnetic moment   0.00 μB per cell
Formation enthalpy at 0 K   -48 meV per atom


[8]
The following is a DFT calculation (PBE) of a relaxed KCd2Ag9 crystal.

abc: 9.6451 9.6451 9.6451
angles: 34.40 34.40 34.40
Fractional coordinates of all 12 atoms:
K: 0.0000 0.0000 0.0000
Cd: 0.1451 0.1451 0.1451
Cd: 0.8549 0.8549 0.8549
Ag: 0.0810 0.5892 0.5892
Ag: 0.3338 0.3338 0.3338
Ag: 0.4108 0.4108 0.9190
Ag: 0.4108 0.9190 0.4108
Ag: 0.5000 0.5000 0.5000
Ag: 0.5892 0.0810 0.5892
Ag: 0.5892 0.5892 0.0810
Ag: 0.6662 0.6662 0.6662
Ag: 0.9190 0.4108 0.4108

Values from the calculation:
Magnetic moment   0.00 μB per cell
Distance to the lowest polymorph of the same formula   0.00 kcal/mol of atoms
Formation enthalpy at 0 K   27 meV per atom